# 1
4
Lattice="1.771 1.023 6.458 -1.771 1.023 6.458 0.000 -2.046 6.458" Properties=species:S:1:pos:R:3 comment="PBE-GGA LaThH2, optimized geometry" magmom_total_mub_per_fu=0.000 sg="R3m (160)" energy_ha_per_atom=-0.1832 pbc="T T T"
La 0.000 0.000 0.000
Th 0.000 0.000 3.334
H 0.000 0.000 8.135
H 0.000 0.000 11.332

---

# 2
4
Lattice="1.836 1.060 6.020 -1.836 1.060 6.020 0.000 -2.120 6.020" Properties=species:S:1:pos:R:3 comment="PBE-GGA LaThH2, optimized geometry" magmom_total_mub_per_fu=0.000 sg="R-3m (166)" energy_ha_per_atom=-0.1877 pbc="T T T"
La 0.000 0.000 0.000
Th 0.000 0.000 9.030
H 0.000 0.000 4.424
H 0.000 0.000 13.636

---

# 3
4
Lattice="3.415 0.000 0.000 0.000 3.415 0.000 0.000 0.000 8.847" Properties=species:S:1:pos:R:3 comment="PBE-GGA LaTh2H, optimized geometry" magmom_total_mub_per_fu=0.000 sg="P4/mmm (123)" energy_ha_per_atom=-0.2043 pbc="T T T"
La 0.000 0.000 0.000
Th 1.707 1.707 2.865
Th 1.707 1.707 5.982
H 0.000 0.000 4.424

---

# 4
15
Lattice="1.973 1.139 16.198 -1.973 1.139 16.198 0.000 -2.279 16.198" Properties=species:S:1:pos:R:3 comment="PBE-GGA La4ThH10, optimized geometry" magmom_total_mub_per_fu=0.000 sg="R-3m (166)" energy_ha_per_atom=-0.1717 pbc="T T T"
La 0.000 0.000 4.887
La 0.000 0.000 14.561
La 0.000 0.000 34.031
La 0.000 0.000 43.705
Th 0.000 0.000 24.296
H 0.000 0.000 2.473
H 0.000 0.000 7.375
H 0.000 0.000 12.128
H 0.000 0.000 16.998
H 0.000 0.000 21.959
H 0.000 0.000 26.634
H 0.000 0.000 31.595
H 0.000 0.000 36.465
H 0.000 0.000 41.218
H 0.000 0.000 46.120

---

# 5
9
Lattice="-1.971 1.971 8.318 1.971 -1.971 8.318 1.971 1.971 -8.318" Properties=species:S:1:pos:R:3 comment="PBE-GGA La2ThH6, optimized geometry" magmom_total_mub_per_fu=0.000 sg="I4/mmm (139)" energy_ha_per_atom=-0.1752 pbc="T T T"
La 0.000 0.000 2.757
La 0.000 0.000 13.879
Th 0.000 0.000 8.318
H 1.971 0.000 1.296
H 1.971 0.000 4.159
H 1.971 0.000 7.022
H 0.000 1.971 1.296
H 0.000 1.971 4.159
H 0.000 1.971 7.022

---

# 6
5
Lattice="5.111 0.000 0.000 0.000 5.111 0.000 0.000 0.000 5.111" Properties=species:S:1:pos:R:3 comment="PBE-GGA LaTh3H, optimized geometry" magmom_total_mub_per_fu=0.000 sg="Pm-3m (221)" energy_ha_per_atom=-0.2271 pbc="T T T"
La 0.000 0.000 0.000
Th 0.000 2.555 2.555
Th 2.555 0.000 2.555
Th 2.555 2.555 0.000
H 2.555 2.555 2.555

---

# 7
6
Lattice="3.208 -1.850 0.000 3.208 1.850 0.000 -2.163 0.000 12.046" Properties=species:S:1:pos:R:3 comment="PBE-GGA LaThH, optimized geometry" magmom_total_mub_per_fu=0.000 sg="Cm (8)" energy_ha_per_atom=-0.1988 pbc="T T T"
La 0.000 0.000 0.000
La 2.107 0.000 8.856
Th 2.095 0.000 3.004
Th 4.251 0.000 5.823
H -0.033 0.000 10.565
H 4.245 0.000 9.638

---

# 8
80
Lattice="-6.130 6.130 6.130 6.130 -6.130 6.130 6.130 6.130 -6.130" Properties=species:S:1:pos:R:3 comment="PBE-GGA La3Ti5H12, optimized geometry" magmom_total_mub_per_fu=2.432 sg="Ia-3d (230)" energy_ha_per_atom=-0.1850 pbc="T T T"
La 3.065 1.533 0.000
La 6.130 3.065 -1.533
La 1.533 0.000 3.065
La 7.663 0.000 3.065
La 0.000 3.065 1.533
La 3.065 -1.533 6.130
La 3.065 7.663 0.000
La 6.130 3.065 4.598
La -1.533 6.130 3.065
La 4.598 6.130 3.065
La 0.000 3.065 7.663
La 3.065 4.598 6.130
Ti 0.000 0.000 0.000
Ti 3.065 3.065 -3.065
Ti 3.065 -3.065 3.065
Ti 6.130 0.000 0.000
Ti 9.196 1.533 0.000
Ti 6.130 -3.065 4.598
Ti 4.598 6.130 -3.065
Ti 4.598 0.000 3.065
Ti 3.065 4.598 0.000
Ti 6.130 3.065 1.533
Ti -3.065 3.065 3.065
Ti 0.000 6.130 0.000
Ti 0.000 0.000 6.130
Ti 3.065 3.065 3.065
Ti 0.000 3.065 4.598
Ti 3.065 1.533 6.130
Ti 1.533 6.130 3.065
Ti 1.533 0.000 9.196
Ti 0.000 9.196 1.533
Ti -3.065 4.598 6.130
H 1.751 -0.335 0.691
H 7.445 3.756 -3.400
H 7.881 0.335 0.691
H 7.445 -2.374 3.400
H 5.795 -0.691 1.751
H 9.531 -1.314 2.374
H 0.691 1.751 -0.335
H 8.505 2.730 -1.314
H 3.756 3.400 -1.314
H 5.439 1.751 0.335
H -0.335 0.691 1.751
H 3.400 -1.314 3.756
H 5.795 5.439 -1.751
H 3.400 1.314 2.374
H 3.756 -3.400 7.445
H 5.439 -1.751 5.795
H 2.374 3.400 1.314
H 6.821 4.379 0.335
H 3.400 7.445 -2.374
H 5.795 0.691 4.379
H 1.751 5.795 -0.691
H 7.445 2.374 2.730
H 1.314 2.374 3.400
H 1.751 0.335 5.439
H 4.379 5.795 0.691
H 4.816 3.756 2.730
H -1.314 3.756 3.400
H 4.379 0.335 6.821
H 0.335 5.439 1.751
H 2.730 -1.314 8.505
H -0.691 1.751 5.795
H 3.756 2.730 4.816
H 0.691 7.881 0.335
H 2.374 9.531 -1.314
H 2.730 4.816 3.756
H 0.335 0.691 7.881
H 2.730 7.445 2.374
H 6.466 5.439 4.379
H 0.691 4.379 5.795
H 2.374 2.730 7.445
H -2.374 3.400 7.445
H 5.439 4.379 6.466
H -3.400 7.445 3.756
H 0.335 6.821 4.379
H -1.314 8.505 2.730
H -1.751 5.795 5.439
H -1.314 2.374 9.531
H 4.379 6.466 5.439

---

# 9
4
Lattice="1.531 0.884 8.103 -1.531 0.884 8.103 0.000 -1.768 8.103" Properties=species:S:1:pos:R:3 comment="PBE-GGA LaTi2H, optimized geometry" magmom_total_mub_per_fu=0.000 sg="R-3m (166)" energy_ha_per_atom=-0.2167 pbc="T T T"
La 0.000 0.000 0.000
Ti 0.000 0.000 2.928
Ti 0.000 0.000 21.380
H 0.000 0.000 12.154

---

# 10
6
Lattice="11.441 0.000 0.000 0.000 1.595 2.841 0.000 -1.595 2.841" Properties=species:S:1:pos:R:3 comment="PBE-GGA LaTiH, optimized geometry" magmom_total_mub_per_fu=0.000 sg="Amm2 (38)" energy_ha_per_atom=-0.1932 pbc="T T T"
La 1.760 0.000 0.000
La 9.681 0.000 0.000
Ti 4.488 0.000 4.435
Ti 6.954 0.000 4.435
H 0.000 0.000 3.757
H 5.721 0.000 2.516

---

# 11
5
Lattice="4.365 0.000 0.000 0.000 4.365 0.000 0.000 0.000 4.365" Properties=species:S:1:pos:R:3 comment="PBE-GGA LaTi3H, optimized geometry" magmom_total_mub_per_fu=0.000 sg="Pm-3m (221)" energy_ha_per_atom=-0.2288 pbc="T T T"
La 0.000 0.000 0.000
Ti 0.000 2.182 2.182
Ti 2.182 0.000 2.182
Ti 2.182 2.182 0.000
H 2.182 2.182 2.182

---

# 12
8
Lattice="-2.825 2.825 3.414 2.825 -2.825 3.414 2.825 2.825 -3.414" Properties=species:S:1:pos:R:3 comment="PBE-GGA LaTiH2, optimized geometry" magmom_total_mub_per_fu=0.000 sg="I-42d (122)" energy_ha_per_atom=-0.1860 pbc="T T T"
La 0.000 0.000 0.000
La 0.000 2.825 1.707
Ti 2.825 0.000 1.707
Ti 0.000 0.000 3.414
H 1.412 -0.968 2.560
H 1.857 1.412 0.853
H 1.412 3.793 -0.853
H 0.968 1.412 4.267